YMnO3 | Alexandria via LeMat-Bulk | PBE+U | relaxed; total DFT energy (no corrections) = -8.3582 eV per atom
1.0
-2.887 -2.197 -0.073
2.470 -0.337 2.636
-5.833 7.452 6.420
O Mn Y
6 2 2
Direct
0.000 0.000 0.250 O
0.667 0.333 0.584 O
0.333 0.667 0.416 O
0.333 0.667 0.084 O
0.667 0.333 0.916 O
0.000 0.000 0.750 O
0.333 0.667 0.250 Mn
0.667 0.333 0.750 Mn
0.000 0.000 0.500 Y
0.000 0.000 0.000 Y